Record 1
This record from Alexandria via LeMat-Bulk describes a relaxed structure of Pm2Er4Sc3. The functional is PBE.

POSCAR file:
```
Pm2Er4Sc3
1.0
-2.3040 -2.4338 -0.9768
3.3655 -0.8400 0.3924
-4.2612 -5.7200 24.3032
Sc Er Pm
3 4 2
direct
0.0000 0.0000 0.9812 Sc
0.0000 0.0000 0.3285 Sc
0.6667 0.3333 0.6501 Sc
0.0000 0.0000 0.7542 Er
0.6667 0.3333 0.4330 Er
0.6667 0.3333 0.2258 Er
0.0000 0.0000 0.5456 Er
0.6667 0.3333 0.0872 Pm
0.6667 0.3333 0.8716 Pm
```

VASP energy ... -5.13 eV per atom
Magnetic moment ... 0.000 μB/atom
Calculated formation energy ... 0.061 eV/atom
Space group ... P3m1
N(E_F) ... 1.537 states/eV per atom
V ... 267 Å³ per cell

***

Record 2
This record from Alexandria via LeMat-Bulk describes a relaxed structure of Pm5Er4Sc3. The functional is PBE.

POSCAR file:
```
Pm5Er4Sc3
1.0
-5.7380 -0.0004 0.4730
-2.1851 -3.7964 8.5305
-2.3792 5.1155 6.1824
Pm Er Sc
5 4 3
direct
0.2836 0.3763 0.0565 Pm
0.5000 0.5000 0.5000 Pm
0.1667 0.1106 0.5560 Pm
0.7164 0.6237 0.9435 Pm
0.8333 0.8894 0.4440 Pm
0.9303 0.1977 0.9416 Er
0.7079 0.2661 0.3182 Er
0.2921 0.7339 0.6818 Er
0.0697 0.8023 0.0584 Er
0.4179 0.9532 0.2111 Sc
0.5821 0.0468 0.7889 Sc
0.0000 0.5000 0.5000 Sc
```

VASP energy ... -4.84 eV per atom
Magnetic moment ... 0.001 μB/atom
Calculated formation energy ... 0.247 eV/atom
Space group ... C2/m
N(E_F) ... 1.706 states/eV per atom
V ... 376 Å³ per cell

***

What is the calculated formation energy in the second record? 0.247 eV/atom

***

Which of these has the lowest N(E_F)? Pm2Er4Sc3

***

Which of these has the lowest N(E_F)? Pm2Er4Sc3

***

Look up the V of the first one. 267 Å³ per cell